VASP calculation (PBEsol) on a relaxed Mg2AgAu crystal.

Output
Fermi-level density of states = 0.312 states/eV/atom
Raw total energy = -3.037 eV/atom
Calculated volume = 71 Å³ per cell
Formation energy from the elements = -0.3696 eV per atom
Symmetry = P1 (1)
Distance to the lowest polymorph of the same formula = 0.074 eV/atom
M_tot = 0.0 μB per formula unit

abc: 3.243 4.634 5.204
angles: 106.82 107.98 90.06
Atoms (fractional coordinates):
Mg (0.000, 0.000, 0.000)
Mg (0.225, 0.658, 0.452)
Ag (0.480, 0.482, 0.960)
Au (0.737, 0.164, 0.476)